This record from Alexandria describes crystalline La2ScSn3Pd4 at its relaxed geometry. The functional is GGA-PBE.

DFT formation energy: -817.3 kJ/mol of formula units
crystal system: tetragonal
total energy: -5.744 eV/atom

Cell lengths 4.609, 4.609, 10.866 Å; angles 90.00, 90.00, 90.00 degrees
Space group P-4m2 (No. 115)
Symmetry-distinct sites (fractional):
La1 0.000 0.500 0.235 x2
Sc1 0.000 0.000 0.500 x1
Sn1 0.000 0.500 0.873 x2
Sn2 0.500 0.500 0.500 x1
Pd1 0.000 0.000 0.000 x1
Pd2 0.000 0.500 0.633 x2
Pd3 0.500 0.500 0.000 x1